Te2AsIrI after structural relaxation. Source: Alexandria via LeMat-Bulk, functional PBE.

**ΔE_f (raw)**: 0.695 eV/atom
**V**: 146 Å³/cell
**Energy relative to the lowest polymorph listed for this composition**: 0.00 eV per formula unit

Cell and atoms, written as POSCAR:
```
Te2AsIrI
1.0
-0.0382 -5.2027 0.2752
4.3148 -0.1859 -2.9143
3.0216 0.2137 4.4600
I As Ir Te
1 1 1 2
Cartesian
1.5108 0.1069 2.2300 I
3.6491 -2.5874 0.9105 As
0.0000 0.0000 0.0000 Ir
2.1574 -0.0929 -1.4572 Te
-0.0191 -2.6014 0.1376 Te
```

=====

Dy2RuS after structural relaxation. Source: Alexandria via LeMat-Bulk, functional PBE.

**ΔE_f (raw)**: -1.027 eV/atom
**V**: 81 Å³/cell
**Energy relative to the lowest polymorph listed for this composition**: 0.00 eV per formula unit

Cell and atoms, written as POSCAR:
```
Dy2RuS
1.0
-2.7442 1.1140 1.6565
-1.9822 -1.1876 -2.4851
-0.4910 -6.1910 3.3502
Ru S Dy
1 1 2
Cartesian
-2.3632 -0.0368 -0.4143 Ru
-2.6087 -3.1323 1.2608 S
-0.3726 -4.6986 2.5426 Dy
-0.1184 -1.4923 0.8076 Dy
```

=====

Th4TcAg after structural relaxation. Source: Alexandria via LeMat-Bulk, functional PBE.

**Formation energy from the elements**: -0.82 eV per formula unit
**V**: 329 Å³/cell

Cell and atoms, written as POSCAR:
```
Th4TcAg
1.0
6.1019 0.0000 0.0000
0.0000 7.3481 0.0000
0.0000 0.0000 7.3481
Th Tc Ag
8 2 2
Cartesian
0.0000 1.3136 4.7519 Th
0.0000 6.0345 2.5961 Th
0.0000 2.5961 1.3136 Th
0.0000 4.7519 6.0345 Th
3.0509 6.0345 4.7519 Th
3.0509 1.3136 2.5961 Th
3.0509 4.7519 1.3136 Th
3.0509 2.5961 6.0345 Th
1.5255 3.6740 3.6740 Tc
4.5764 3.6740 3.6740 Tc
1.5255 0.0000 0.0000 Ag
4.5764 0.0000 0.0000 Ag
```

=====

Tb6PrCd2 after structural relaxation. Source: Alexandria via LeMat-Bulk, functional PBE.

**Formation energy from the elements**: -0.49 eV per formula unit
**V**: 540 Å³/cell
**Energy relative to the lowest polymorph listed for this composition**: 0.67 eV per formula unit

Cell and atoms, written as POSCAR:
```
Tb6PrCd2
1.0
-1.9372 1.9602 -5.4188
-9.4046 -0.6475 2.1790
-2.8444 8.6744 3.2059
Tb Pr Cd
12 2 4
Cartesian
-8.5562 4.3194 0.2206 Tb
-6.2278 2.4617 2.2097 Tb
-5.6299 5.6677 -0.2544 Tb
-7.9583 7.5254 -2.2436 Tb
-3.2535 4.2995 -2.2395 Tb
-10.2549 9.0071 -0.2460 Tb
-10.9327 5.6876 2.2057 Tb
-3.9312 0.9800 0.2122 Tb
-7.5499 0.3878 0.0160 Tb
-10.2650 2.0866 1.9399 Tb
-6.6362 9.5993 -0.0498 Tb
-3.9212 7.9006 -1.9737 Tb
-4.0185 8.1842 1.7433 Pr
-10.1676 1.8029 -1.7771 Pr
-8.0904 7.3055 1.5143 Cd
-3.4663 4.0616 1.4213 Cd
-6.0957 2.6816 -1.5481 Cd
-10.7199 5.9255 -1.4551 Cd
```

=====

CsIn3Hg3 after structural relaxation. Source: Alexandria via LeMat-Bulk, functional PBE.

**Formation energy from the elements**: -0.33 eV per formula unit
**V**: 462 Å³/cell
**Energy relative to the lowest polymorph listed for this composition**: 0.00 eV per formula unit

Cell and atoms, written as POSCAR:
```
CsIn3Hg3
1.0
-3.6730 -4.6560 -0.9203
5.1331 -2.5718 -7.4755
2.1146 -3.3581 8.5497
Cs In Hg
2 6 6
Cartesian
2.2025 -4.2600 2.9779 Cs
1.3722 -6.3259 -2.8240 Cs
3.0892 -8.4567 1.1035 In
-1.6977 -4.5423 0.4047 In
3.8682 -3.8210 -5.8912 In
-0.2935 -6.7648 6.0451 In
5.2723 -6.0435 -0.2508 In
0.4854 -2.1291 -0.9496 In
1.5156 -7.7272 3.6935 Hg
0.7324 -6.4888 0.5537 Hg
4.7247 -5.0380 -3.1522 Hg
-1.1500 -5.5478 3.3062 Hg
2.8422 -4.0970 -0.3997 Hg
2.0591 -2.8586 -3.5395 Hg
```

=====

Ca3TiOs after structural relaxation. Source: Alexandria via LeMat-Bulk, functional PBE.

**Formation energy from the elements**: 4.74 eV per formula unit
**V**: 160 Å³/cell
**Energy relative to the lowest polymorph listed for this composition**: 0.00 eV per formula unit

Cell and atoms, written as POSCAR:
```
Ca3TiOs
1.0
5.4299 0.0000 0.0000
0.0000 5.4299 0.0000
0.0000 0.0000 5.4299
Ca Os Ti
3 1 1
Cartesian
0.0000 2.7150 0.0000 Ca
0.0000 0.0000 2.7150 Ca
2.7150 0.0000 0.0000 Ca
0.0000 0.0000 0.0000 Os
2.7150 2.7150 2.7150 Ti
```

=====

Cu3Mo after structural relaxation. Source: Alexandria via LeMat-Bulk, functional PBE.

**Formation energy from the elements**: 0.96 eV per formula unit
**V**: 211 Å³/cell

Cell and atoms, written as POSCAR:
```
Cu3Mo
1.0
4.4432 0.0000 0.0000
0.0000 8.8373 0.0000
0.0000 0.0000 5.3665
Mo Cu
4 12
Cartesian
4.1624 2.2093 2.0012 Mo
2.5024 6.6280 4.6844 Mo
1.9408 2.2093 0.6821 Mo
0.2808 6.6280 3.3654 Mo
4.1170 2.2093 4.6240 Cu
2.5478 6.6280 1.9408 Cu
1.8954 2.2093 3.4258 Cu
0.3262 6.6280 0.7425 Cu
1.1400 8.7915 1.9968 Cu
1.0816 0.0458 4.6801 Cu
3.3616 4.4645 0.6865 Cu
3.3031 4.3728 3.3697 Cu
3.3031 0.0458 3.3697 Cu
3.3616 8.7915 0.6865 Cu
1.0816 4.3728 4.6801 Cu
1.1400 4.4645 1.9968 Cu
```

=====

Rb2Sc2Cd after structural relaxation. Source: Alexandria via LeMat-Bulk, functional PBE.

**Formation energy from the elements**: 2.38 eV per formula unit
**V**: 215 Å³/cell
**Energy relative to the lowest polymorph listed for this composition**: 0.00 eV per formula unit

Cell and atoms, written as POSCAR:
```
Rb2Sc2Cd
1.0
4.1613 0.0000 0.0000
0.0000 4.1613 0.0000
2.0806 2.0806 12.4129
Sc Rb Cd
2 2 1
Cartesian
4.1613 2.0806 6.2064 Sc
2.0806 4.1613 6.2064 Sc
2.0806 2.0806 2.6206 Rb
4.1613 4.1613 9.7923 Rb
0.0000 0.0000 0.0000 Cd
```

=====

| no. | total magnetization (μB per formula unit) |
| --- | --- |
| 1 | 0.00 |
| 2 | 0.00 |
| 3 | 0.00 |
| 4 | 0.00 |
| 5 | 0.00 |
| 6 | 0.00 |
| 7 | 0.00 |
| 8 | 0.55 |